(1)
# SrPtSe | Alexandria via LeMat-Bulk | PBE-GGA | optimized geometry
data_SrPtSe
_chemical_formula_sum 'Sr2 Pt2 Se2'
_space_group_name_H-M_alt 'P 4/n m m'
_space_group_IT_number 129
_cell_length_a 4.835
_cell_length_b 4.835
_cell_length_c 6.468
_cell_angle_alpha 90.00
_cell_angle_beta 90.00
_cell_angle_gamma 90.00
loop_
_space_group_symop_operation_xyz
'x,y,z'
'-x,-y,-z'
'-y+1/2,x,z'
'y+1/2,-x,-z'
'-x+1/2,-y+1/2,z'
'x+1/2,y+1/2,-z'
'y,-x+1/2,z'
'-y,x+1/2,-z'
'x+1/2,-y,-z'
'-x+1/2,y,z'
'-y,-x,-z'
'y,x,z'
'-x,y+1/2,-z'
'x,-y+1/2,z'
'y+1/2,x+1/2,-z'
'-y+1/2,-x+1/2,z'
loop_
_atom_site_label
_atom_site_fract_x
_atom_site_fract_y
_atom_site_fract_z
Sr1 0.250 0.250 0.164
Pt1 0.250 0.250 0.672
Se1 0.250 0.750 0.500
# E ... -4.42 eV/atom

=====

(2)
# SrPt4Se | Alexandria via LeMat-Bulk | PBE-GGA | optimized geometry
data_SrPt4Se
_chemical_formula_sum 'Sr4 Pt16 Se4'
_space_group_name_H-M_alt 'F -4 3 m'
_space_group_IT_number 216
_space_group_name_Hall 'F -4 2 3'
_cell_length_a 7.731
_cell_length_b 7.731
_cell_length_c 7.731
_cell_angle_alpha 90.00
_cell_angle_beta 90.00
_cell_angle_gamma 90.00
loop_
_atom_site_label
_atom_site_fract_x
_atom_site_fract_y
_atom_site_fract_z
Sr1 0.000 0.000 0.000
Pt1 0.125 0.125 0.625
Se1 0.250 0.250 0.250
# E ... -5.18 eV/atom

=====

Asked for volume across the records above, the calculation gives 151.2; 462.1 Å³/cell in order.